TaHgP2: relaxed, PBE.

The calculation puts the raw total energy at -5.748 eV/atom. Its crystal system is orthorhombic.

Structure (CIF):
```
data_TaHgP2
_chemical_formula_sum 'Ta2 Hg2 P4'
_cell_length_a 3.277
_cell_length_b 3.596
_cell_length_c 13.051
_cell_angle_alpha 90.00
_cell_angle_beta 90.00
_cell_angle_gamma 90.00
_space_group_name_H-M_alt 'I m m 2'
_space_group_IT_number 44
_space_group_name_Hall 'I 2 -2'
loop_
_atom_site_label
_atom_site_type_symbol
_atom_site_fract_x
_atom_site_fract_y
_atom_site_fract_z
_atom_site_occupancy
Ta1 Ta 0.000 0.000 0.000 1
Hg1 Hg 0.000 0.500 0.261 1
P1 P 0.000 0.000 0.439 1
P2 P 0.000 0.500 0.643 1
```